Entry 1:
Here is a relaxed Ac3LaHg crystal from Alexandria. Energies are from GGA-PBE. Values from VASP.

```
&SYSTEM
  ibrav = 0, nat = 10, ntyp = 3
/
ATOMIC_SPECIES
Ac 227.00 Ac.upf
Hg 200.59 Hg.upf
La 138.91 La.upf
CELL_PARAMETERS angstrom
7.9616 0.0149 -0.5220
-2.1639 7.6619 0.5220
-3.6205 -3.2933 7.0401
ATOMIC_POSITIONS crystal
Ac 0.1845 0.0130 0.7917
Ac 0.8155 0.9870 0.2083
Ac 0.2213 0.3929 0.2083
Ac 0.7787 0.6071 0.7917
Ac 0.2614 0.5432 0.8046
Ac 0.7386 0.4568 0.1954
Hg 0.6640 0.7733 0.4372
Hg 0.3360 0.2267 0.5628
La 0.6866 0.0778 0.7644
La 0.3134 0.9222 0.2356
```

Values from the calculation:
- N(E_F) (states/eV/f.u.) = 8.33
- theoretical density (Mg/m³) = 8.0
- energy above the most stable polymorph in this dataset (eV/f.u.) = 0.569
- E_form (eV per atom) = -0.035

Entry 2:
Here is a relaxed Ba2HgMo crystal from Alexandria. Energies are from GGA-PBE. Values from VASP.

```
&SYSTEM
  ibrav = 0, nat = 4, ntyp = 3
/
ATOMIC_SPECIES
Hg 200.59 Hg.upf
Mo 95.94 Mo.upf
Ba 137.33 Ba.upf
CELL_PARAMETERS angstrom
4.8784 0.0000 0.0000
0.0000 4.9902 0.0031
0.0000 2.4919 6.1493
ATOMIC_POSITIONS crystal
Hg 0.0000 0.6828 0.5092
Mo 0.5000 0.5716 0.7321
Ba 0.5000 0.2682 0.3384
Ba 0.0000 0.9773 0.9203
```

Values from the calculation:
- N(E_F) (states/eV/f.u.) = 3.43
- theoretical density (Mg/m³) = 6.3
- E_form (eV per atom) = 0.482

Entry 3:
Here is a relaxed GaAgPtPb crystal from Alexandria. Energies are from GGA-PBE. Values from VASP.

```
&SYSTEM
  ibrav = 0, nat = 4, ntyp = 4
/
ATOMIC_SPECIES
Pb 207.20 Pb.upf
Ga 69.72 Ga.upf
Ag 107.87 Ag.upf
Pt 195.08 Pt.upf
CELL_PARAMETERS angstrom
-2.3298 -0.0248 -2.9868
1.5076 -0.7055 -3.4158
-1.0863 -6.6900 0.9047
ATOMIC_POSITIONS crystal
Pb 0.9493 0.9314 0.8008
Ga 0.6295 0.6157 0.2449
Ag 0.2894 0.2737 0.4923
Pt 0.2894 0.2736 0.0737
```

Values from the calculation:
- N(E_F) (states/eV/f.u.) = 1.96
- theoretical density (Mg/m³) = 11.1
- energy above the most stable polymorph in this dataset (eV/f.u.) = 0.110
- E_form (eV per atom) = -0.157

Entry 4:
Here is a relaxed CdPC crystal from Alexandria. Energies are from GGA-PBE. Values from VASP.

```
&SYSTEM
  ibrav = 0, nat = 12, ntyp = 3
/
ATOMIC_SPECIES
P 30.97 P.upf
C 12.01 C.upf
Cd 112.41 Cd.upf
CELL_PARAMETERS angstrom
-0.8159 3.6111 1.8537
-2.2799 0.9439 -2.8422
-11.5966 -8.2055 6.5772
ATOMIC_POSITIONS crystal
P 0.7511 0.5000 0.5474
P 0.2489 0.0000 0.9526
P 0.2489 0.5000 0.4526
P 0.7511 0.0000 0.0474
C 0.0000 0.1811 0.5000
C 0.0000 0.3189 0.0000
C 0.0000 0.8189 0.5000
C 0.0000 0.6811 0.0000
Cd 0.7328 0.0000 0.2200
Cd 0.2672 0.0000 0.7800
Cd 0.2672 0.5000 0.2800
Cd 0.7328 0.5000 0.7200
```

Values from the calculation:
- N(E_F) (states/eV/f.u.) = 0.68
- theoretical density (Mg/m³) = 4.3
- energy above the most stable polymorph in this dataset (eV/f.u.) = 0.103
- E_form (eV per atom) = 0.330

Entry 5:
Here is a relaxed CdAg3F8 crystal from Alexandria. Energies are from GGA-PBE. Values from VASP.

```
&SYSTEM
  ibrav = 0, nat = 12, ntyp = 3
/
ATOMIC_SPECIES
F 19.00 F.upf
Ag 107.87 Ag.upf
Cd 112.41 Cd.upf
CELL_PARAMETERS angstrom
-1.6124 3.9693 0.4700
-3.7904 -2.2398 5.9119
7.3722 0.4154 2.0216
ATOMIC_POSITIONS crystal
F 0.2179 0.3412 0.4357
F 0.1440 0.7229 0.2881
F 0.8719 0.2828 0.7438
F 0.7698 0.6269 0.5397
F 0.4233 0.5878 0.8466
F 0.6365 0.0000 0.2729
F 0.5703 0.4162 0.1405
F 0.3753 0.9981 0.7505
Ag 0.6991 0.3002 0.3982
Ag 0.6009 0.7107 0.2017
Ag 0.3925 0.2864 0.7850
Cd 0.2970 0.6966 0.5939
```

Values from the calculation:
- N(E_F) (states/eV/f.u.) = 5.56
- theoretical density (Mg/m³) = 4.4
- formation energy from raw total energies (eV per atom) = -1.3526

Entry 6:
Here is a relaxed TeAu2Br crystal from Alexandria. Energies are from GGA-PBE. Values from VASP.

```
&SYSTEM
  ibrav = 0, nat = 4, ntyp = 3
/
ATOMIC_SPECIES
Au 196.97 Au.upf
Te 127.60 Te.upf
Br 79.90 Br.upf
CELL_PARAMETERS angstrom
-0.1506 3.1500 -3.9312
1.6767 -1.5116 -4.5059
-3.2582 -0.8139 -3.7578
ATOMIC_POSITIONS crystal
Au 0.2500 0.2500 0.2500
Au 0.0000 0.0000 0.0000
Te 0.7500 0.7500 0.7500
Br 0.5000 0.5000 0.5000
```

Values from the calculation:
- N(E_F) (states/eV/f.u.) = 2.31
- theoretical density (Mg/m³) = 11.0
- energy above the most stable polymorph in this dataset (eV/f.u.) = 2.005
- formation energy from raw total energies (eV per atom) = 0.4692

Entry 7:
Here is a relaxed Y2InTe crystal from Alexandria. Energies are from GGA-PBE. Values from VASP.

```
&SYSTEM
  ibrav = 0, nat = 4, ntyp = 3
/
ATOMIC_SPECIES
Y 88.91 Y.upf
Te 127.60 Te.upf
In 114.82 In.upf
CELL_PARAMETERS angstrom
0.0000 3.8072 3.8072
3.8072 0.0000 3.8072
3.8072 3.8072 0.0000
ATOMIC_POSITIONS crystal
Y 0.7500 0.7500 0.7500
Y 0.2500 0.2500 0.2500
Te 0.5000 0.5000 0.5000
In 0.0000 0.0000 0.0000
```

Values from the calculation:
- N(E_F) (states/eV/f.u.) = 5.05
- theoretical density (Mg/m³) = 6.3
- energy above the most stable polymorph in this dataset (eV/f.u.) = 1.271
- formation energy from raw total energies (eV per atom) = -0.6304

Entry 8:
Here is a relaxed Tl2GeO crystal from Alexandria. Energies are from GGA-PBE. Values from VASP.

```
&SYSTEM
  ibrav = 0, nat = 4, ntyp = 3
/
ATOMIC_SPECIES
Tl 204.38 Tl.upf
Ge 72.64 Ge.upf
O 16.00 O.upf
CELL_PARAMETERS angstrom
0.0000 3.4658 3.4658
3.4658 0.0000 3.4658
3.4658 3.4658 0.0000
ATOMIC_POSITIONS crystal
Tl 0.2500 0.2500 0.2500
Tl 0.7500 0.7500 0.7500
Ge 0.5000 0.5000 0.5000
O 0.0000 0.0000 0.0000
```

Values from the calculation:
- N(E_F) (states/eV/f.u.) = 3.15
- theoretical density (Mg/m³) = 9.9
- energy above the most stable polymorph in this dataset (eV/f.u.) = 1.349
- formation energy from raw total energies (eV per atom) = 0.2724